VASP calculation (PBE) on crystalline Ba2ThPbS5 at its relaxed geometry.

Cell and atoms, written as POSCAR:
```
Ba2ThPbS5
1.0
4.337 0.000 0.000
-2.168 9.064 0.000
0.000 0.000 14.231
Ba Th Pb S
4 2 2 10
direct
0.866 0.733 0.799
0.084 0.167 0.659
0.134 0.267 0.299
0.916 0.833 0.159
0.773 0.545 0.528
0.227 0.455 0.028
0.545 0.091 0.951
0.455 0.909 0.451
0.376 0.752 0.991
0.703 0.406 0.904
0.492 0.984 0.763
0.261 0.522 0.658
0.920 0.840 0.571
0.624 0.248 0.491
0.297 0.594 0.404
0.508 0.016 0.263
0.739 0.478 0.158
0.080 0.160 0.071
```

Results
As for the volume: 559 Å³/cell. For the mass density, the calculation gives 5.19 g/cm3. Its formation energy (no corrections) is -1.667 eV/atom. Its space group is Cmc2_1, No. 36. The total energy comes out at -5.623 eV/atom.

VASP calculation (PBE) on crystalline Nd8MgTl2 at its relaxed geometry.

Cell and atoms, written as POSCAR:
```
Nd8MgTl2
1.0
-0.703 0.075 -5.348
-0.309 -7.287 -0.062
-8.642 1.827 3.883
Nd Mg Tl
8 1 2
direct
0.408 0.552 0.817
0.664 0.935 0.327
0.820 0.728 0.640
0.969 0.259 0.937
0.180 0.272 0.360
0.336 0.065 0.673
0.592 0.448 0.183
0.031 0.741 0.063
0.500 0.000 0.000
0.792 0.284 0.584
0.208 0.716 0.416
```

Results
As for the volume: 360 Å³/cell. The formation energy is -0.111 eV/atom. For the mass density, the calculation gives 7.33 g/cm3. Its energy above the most stable polymorph in this dataset is 28 kJ/mol of formula units. Its space group is C2/m, No. 12. The total energy comes out at -4.154 eV/atom. For the density of states at the Fermi level, the calculation gives 0.87 states/eV/atom.

VASP calculation (PBE) on crystalline Cs4LaNp3O12 at its relaxed geometry.

Cell and atoms, written as POSCAR:
```
Cs4LaNp3O12
1.0
7.703 0.000 0.000
-2.568 7.263 0.000
-2.568 -3.631 6.290
Cs La Np O
4 1 3 12
direct
0.500 0.500 0.500
0.000 0.000 0.500
0.500 0.000 0.000
0.000 0.500 0.000
0.000 0.000 0.000
0.500 0.000 0.500
0.500 0.500 0.000
0.000 0.500 0.500
0.250 0.500 0.750
0.725 0.000 0.725
0.275 0.000 0.275
0.750 0.500 0.250
0.725 0.725 0.000
0.275 0.275 0.000
0.750 0.250 0.500
0.250 0.750 0.500
0.500 0.250 0.750
0.000 0.725 0.725
0.500 0.750 0.250
0.000 0.275 0.275
```

Results
As for the volume: 352 Å³/cell. For the mass density, the calculation gives 7.43 g/cm3. Its formation energy (no corrections) is -2.633 eV/atom. Its space group is Im-3m, No. 229. The total energy comes out at -7.966 eV/atom. For the density of states at the Fermi level, the calculation gives 0.35 states/eV/atom.

VASP calculation (PBE) on crystalline LiTmSbS4 at its relaxed geometry.

Cell and atoms, written as POSCAR:
```
LiTmSbS4
1.0
7.804 0.000 0.000
3.902 6.749 0.172
3.902 2.220 6.375
Li Tm Sb S
2 2 2 8
direct
0.637 0.613 0.113
0.363 0.387 0.887
0.500 0.000 0.500
0.000 0.000 0.500
0.000 0.000 0.000
0.000 0.500 0.500
0.763 0.746 0.727
0.237 0.773 0.754
0.763 0.227 0.246
0.237 0.254 0.273
0.234 0.756 0.256
0.755 0.756 0.256
0.245 0.244 0.744
0.766 0.244 0.744
```

Results
As for the volume: 333 Å³/cell. For the mass density, the calculation gives 4.25 g/cm3. Its formation energy (no corrections) is -1.098 eV/atom. Its space group is Imma, No. 74. The total energy comes out at -4.958 eV/atom. For the density of states at the Fermi level, the calculation gives 0.30 states/eV/atom.

VASP calculation (PBE) on crystalline SmThZnIr at its relaxed geometry.

Cell and atoms, written as POSCAR:
```
SmThZnIr
1.0
-0.999 3.642 -3.397
-4.805 1.378 -0.908
-1.680 4.534 1.557
Zn Ir Sm Th
1 1 1 1
direct
0.500 0.500 0.500
0.000 0.000 0.000
0.250 0.250 0.250
0.750 0.750 0.750
```

Results
As for the volume: 93 Å³/cell. The formation energy is -0.473 eV/atom. For the mass density, the calculation gives 11.47 g/cm3. Its space group is F-43m, No. 216. The total energy comes out at -6.042 eV/atom. For the density of states at the Fermi level, the calculation gives 0.84 states/eV/atom.

VASP calculation (PBE) on crystalline BaTl2Si at its relaxed geometry.

Cell and atoms, written as POSCAR:
```
BaTl2Si
1.0
4.571 0.000 0.000
0.000 4.571 -0.087
0.000 0.117 6.261
Ba Si Tl
1 1 2
direct
0.000 0.375 0.572
0.500 0.875 0.770
0.000 0.875 0.079
0.500 0.375 0.079
```

Results
As for the volume: 131 Å³/cell. For the mass density, the calculation gives 7.29 g/cm3. Its formation energy (no corrections) is -0.116 eV/atom. Its energy above the most stable polymorph in this dataset is 0 kJ/mol of formula units. Its space group is P4mm, No. 99. The total energy comes out at -3.135 eV/atom. For the density of states at the Fermi level, the calculation gives 0.52 states/eV/atom.

VASP calculation (PBE) on crystalline RbNa2CdAu at its relaxed geometry.

Cell and atoms, written as POSCAR:
```
RbNa2CdAu
1.0
-0.308 -0.221 5.748
5.055 -2.757 0.165
2.602 4.789 0.324
Na Au Rb Cd
2 1 1 1
direct
0.000 0.500 0.000
0.500 0.000 0.000
0.000 0.000 0.000
0.500 0.500 0.500
0.000 0.000 0.500
```

Results
As for the volume: 181 Å³/cell. The formation energy is -0.145 eV/atom. For the mass density, the calculation gives 4.04 g/cm3. Its energy above the most stable polymorph in this dataset is 0 kJ/mol of formula units. Its space group is P4/mmm, No. 123. The total energy comes out at -1.705 eV/atom. For the density of states at the Fermi level, the calculation gives 0.50 states/eV/atom.

VASP calculation (PBE) on crystalline YAlBr at its relaxed geometry.

Cell and atoms, written as POSCAR:
```
YAlBr
1.0
-3.500 -1.092 -3.307
0.326 -2.584 4.195
-2.291 2.374 1.640
Y Al Br
1 1 1
direct
0.667 0.333 0.500
0.000 0.000 0.000
0.333 0.667 0.500
```

Results
As for the volume: 78 Å³/cell. For the mass density, the calculation gives 4.18 g/cm3. Its formation energy (no corrections) is -0.362 eV/atom. Its space group is P-6m2, No. 187. The total energy comes out at -4.321 eV/atom. For the density of states at the Fermi level, the calculation gives 0.66 states/eV/atom.

VASP calculation (PBE) on crystalline Sr2Zn2Sb at its relaxed geometry.

Cell and atoms, written as POSCAR:
```
Sr2Zn2Sb
1.0
-3.469 2.399 4.582
3.708 -2.694 4.217
2.446 3.129 4.447
Sb Zn Sr
1 2 2
direct
0.000 0.000 0.000
0.352 0.352 0.296
0.648 0.648 0.704
0.750 0.250 0.500
0.250 0.750 0.500
```

Results
As for the volume: 156 Å³/cell. For the mass density, the calculation gives 4.56 g/cm3. Its formation energy (no corrections) is -0.234 eV/atom. Its energy above the most stable polymorph in this dataset is 93 kJ/mol of formula units. Its space group is I4/mmm, No. 139. The total energy comes out at -2.241 eV/atom. For the density of states at the Fermi level, the calculation gives 0.73 states/eV/atom.

VASP calculation (PBE) on crystalline PaTeRu at its relaxed geometry.

Cell and atoms, written as POSCAR:
```
PaTeRu
1.0
-0.159 -3.682 -2.832
3.401 -0.705 -3.088
2.982 -3.516 0.590
Ru Pa Te
1 1 1
direct
0.250 0.250 0.250
0.500 0.500 0.500
0.000 0.000 0.000
```

Results
As for the volume: 71 Å³/cell. For the mass density, the calculation gives 10.75 g/cm3. Its formation energy (no corrections) is -0.515 eV/atom. Its energy above the most stable polymorph in this dataset is 20 kJ/mol of formula units. Its space group is F-43m, No. 216. The total energy comes out at -7.820 eV/atom. For the density of states at the Fermi level, the calculation gives 1.34 states/eV/atom.

VASP calculation (PBE) on crystalline La2Al3Zn6 at its relaxed geometry.

Cell and atoms, written as POSCAR:
```
La2Al3Zn6
1.0
-0.460 -3.533 2.013
6.561 1.069 3.376
-4.000 3.500 5.228
La Al Zn
2 3 6
direct
0.000 0.282 0.718
0.000 0.718 0.282
0.000 0.204 0.204
0.000 0.796 0.796
0.500 0.000 0.000
0.500 0.385 0.385
0.500 0.615 0.615
0.500 0.051 0.352
0.500 0.949 0.648
0.500 0.352 0.051
0.500 0.648 0.949
```

Results
As for the volume: 227 Å³/cell. The formation energy is -0.244 eV/atom. For the mass density, the calculation gives 5.50 g/cm3. Its space group is Cmmm, No. 65. The total energy comes out at -2.855 eV/atom. For the density of states at the Fermi level, the calculation gives 0.53 states/eV/atom.

VASP calculation (PBE) on crystalline Tb12SmTm7 at its relaxed geometry.

Cell and atoms, written as POSCAR:
```
Tb12SmTm7
1.0
-3.302 -7.902 4.727
8.420 -2.164 -4.484
1.484 7.246 6.402
Tb Sm Tm
12 1 7
direct
0.489 0.745 0.745
0.000 0.745 0.255
0.511 0.255 0.255
0.000 0.255 0.745
0.745 0.000 0.255
0.745 0.489 0.745
0.255 0.000 0.745
0.255 0.511 0.255
0.745 0.745 0.489
0.255 0.255 0.511
0.745 0.255 0.000
0.255 0.745 0.000
0.000 0.000 0.000
0.500 0.500 0.000
0.000 0.500 0.500
0.500 0.000 0.500
0.500 0.500 0.500
0.000 0.000 0.500
0.500 0.000 0.000
0.000 0.500 0.000
```

Results
As for the volume: 721 Å³/cell. The formation energy is 0.714 eV/atom. For the mass density, the calculation gives 7.47 g/cm3. Its energy above the most stable polymorph in this dataset is 794 kJ/mol of formula units. Its space group is Im-3m, No. 229. The total energy comes out at -3.865 eV/atom. For the density of states at the Fermi level, the calculation gives 1.20 states/eV/atom.

VASP calculation (PBE) on crystalline Lu2TlGa at its relaxed geometry.

Cell and atoms, written as POSCAR:
```
Lu2TlGa
1.0
3.590 0.000 0.000
1.795 3.109 0.000
1.795 1.036 9.130
Tl Lu Ga
1 2 1
direct
0.500 0.500 0.500
0.257 0.257 0.230
0.743 0.743 0.770
0.000 0.000 0.000
```

Results
As for the volume: 102 Å³/cell. The formation energy is -0.324 eV/atom. For the mass density, the calculation gives 10.17 g/cm3. Its energy above the most stable polymorph in this dataset is 30 kJ/mol of formula units. Its space group is R-3m, No. 166. The total energy comes out at -3.933 eV/atom. For the density of states at the Fermi level, the calculation gives 0.97 states/eV/atom.

VASP calculation (PBE) on crystalline AsOsOF2 at its relaxed geometry.

Cell and atoms, written as POSCAR:
```
AsOsOF2
1.0
-0.843 -1.497 4.119
4.381 -0.197 0.825
-0.078 3.458 1.241
As Os O F
1 1 1 2
direct
0.500 0.500 0.500
0.000 0.000 0.000
0.000 0.000 0.500
0.000 0.500 0.000
0.500 0.000 0.000
```

Results
As for the volume: 73 Å³/cell. For the mass density, the calculation gives 7.24 g/cm3. Its formation energy (no corrections) is -0.234 eV/atom. Its energy above the most stable polymorph in this dataset is 0 kJ/mol of formula units. Its space group is P4/mmm, No. 123. The total energy comes out at -5.150 eV/atom. For the density of states at the Fermi level, the calculation gives 0.79 states/eV/atom.

VASP calculation (PBE) on crystalline TmSc2AgHg4 at its relaxed geometry.

Cell and atoms, written as POSCAR:
```
TmSc2AgHg4
1.0
-3.048 -3.684 -1.337
1.464 -3.330 -3.379
2.573 -7.092 4.456
Tm Sc Ag Hg
1 2 1 4
direct
0.000 0.000 0.000
0.756 0.756 0.731
0.244 0.244 0.269
0.500 0.500 0.500
0.375 0.375 0.874
0.876 0.876 0.372
0.124 0.124 0.628
0.625 0.625 0.126
```

Results
As for the volume: 177 Å³/cell. The formation energy is -0.331 eV/atom. For the mass density, the calculation gives 10.98 g/cm3. Its space group is R-3m, No. 166. The total energy comes out at -2.980 eV/atom. For the density of states at the Fermi level, the calculation gives 0.72 states/eV/atom.

VASP calculation (PBE) on crystalline SiAs2CBr at its relaxed geometry.

Cell and atoms, written as POSCAR:
```
SiAs2CBr
1.0
4.392 0.000 0.000
0.000 4.392 0.000
0.000 0.000 4.641
C As Si Br
1 2 1 1
direct
0.000 0.000 0.000
0.000 0.500 0.000
0.500 0.000 0.000
0.500 0.500 0.500
0.000 0.000 0.500
```

Results
As for the volume: 90 Å³/cell. For the mass density, the calculation gives 5.00 g/cm3. Its formation energy (no corrections) is 1.314 eV/atom. Its energy above the most stable polymorph in this dataset is 0 kJ/mol of formula units. Its space group is P4/mmm, No. 123. The total energy comes out at -3.810 eV/atom. For the density of states at the Fermi level, the calculation gives 0.40 states/eV/atom.

VASP calculation (PBE) on crystalline NdTm4Bi2 at its relaxed geometry.

Cell and atoms, written as POSCAR:
```
NdTm4Bi2
1.0
-4.844 2.136 -0.764
-0.032 -1.865 -5.013
-1.069 -7.147 5.519
Nd Tm Bi
1 4 2
direct
0.000 0.000 0.000
0.819 0.819 0.639
0.181 0.181 0.361
0.000 0.500 0.000
0.500 0.000 0.000
0.634 0.634 0.268
0.366 0.366 0.732
```

Results
As for the volume: 237 Å³/cell. The formation energy is 0.405 eV/atom. For the mass density, the calculation gives 8.69 g/cm3. Its space group is I4/mmm, No. 139. The total energy comes out at -3.940 eV/atom. For the density of states at the Fermi level, the calculation gives 1.08 states/eV/atom.

VASP calculation (PBE) on crystalline GaNiPS2 at its relaxed geometry.

Cell and atoms, written as POSCAR:
```
GaNiPS2
1.0
4.787 0.000 0.000
0.000 4.787 0.000
0.000 0.000 4.112
Ni S Ga P
1 2 1 1
direct
0.000 0.000 0.000
0.000 0.500 0.000
0.500 0.000 0.000
0.500 0.500 0.500
0.000 0.000 0.500
```

Results
As for the volume: 94 Å³/cell. For the mass density, the calculation gives 3.94 g/cm3. Its formation energy (no corrections) is 0.384 eV/atom. Its energy above the most stable polymorph in this dataset is 0 kJ/mol of formula units. Its space group is P4/mmm, No. 123. The total energy comes out at -4.111 eV/atom. For the density of states at the Fermi level, the calculation gives 1.22 states/eV/atom.

VASP calculation (PBE) on crystalline CoNi2Rh at its relaxed geometry.

Cell and atoms, written as POSCAR:
```
CoNi2Rh
1.0
-2.844 -1.934 -2.267
2.263 -4.537 1.031
-3.713 1.803 3.120
Co Ni Rh
2 4 2
direct
0.250 0.761 0.598
0.750 0.598 0.761
0.250 0.272 0.597
0.750 0.597 0.272
0.250 0.274 0.111
0.750 0.111 0.274
0.250 0.770 0.102
0.750 0.102 0.770
```

Results
As for the volume: 96 Å³/cell. The formation energy is 0.012 eV/atom. For the mass density, the calculation gives 9.71 g/cm3. Its energy above the most stable polymorph in this dataset is 0 kJ/mol of formula units. Its space group is Ama2, No. 40. The total energy comes out at -6.493 eV/atom. For the density of states at the Fermi level, the calculation gives 1.13 states/eV/atom.

VASP calculation (PBE) on crystalline NaMg4Tl5 at its relaxed geometry.

Cell and atoms, written as POSCAR:
```
NaMg4Tl5
1.0
-3.332 0.644 1.289
0.512 -2.507 2.574
7.177 13.555 11.775
Na Mg Tl
1 4 5
direct
0.000 0.000 0.000
0.000 0.000 0.208
0.000 0.000 0.403
0.000 0.000 0.597
0.000 0.000 0.792
0.500 0.500 0.112
0.500 0.500 0.305
0.500 0.500 0.500
0.500 0.500 0.695
0.500 0.500 0.888
```

Results
As for the volume: 255 Å³/cell. The formation energy is -0.066 eV/atom. For the mass density, the calculation gives 7.44 g/cm3. Its space group is P4/mmm, No. 123. The total energy comes out at -2.019 eV/atom. For the density of states at the Fermi level, the calculation gives 0.40 states/eV/atom.